Below is an optimized crystal structure of AlRe3Ru, with properties calculated at the PBE level.

Properties
- Crystal system: cubic
- Formation enthalpy at 0 K: 1833 meV per atom
- E: -0.3028 Ha/atom
- Energy above the lowest structure with this stoichiometry: 0 meV per atom
- Density: 13.61 g cm⁻³

Cell lengths 4.376, 4.376, 4.376 Å; angles 90.00, 90.00, 90.00 degrees
Sites, in units of the cell vectors:
Al 0.000 0.000 0.000
Re 0.000 0.000 0.500
Re 0.000 0.500 0.000
Re 0.500 0.000 0.000
Ru 0.500 0.500 0.500

=====

Below is an optimized crystal structure of LiAcCd17, with properties calculated at the PBE level.

Properties
- Crystal system: trigonal
- Formation enthalpy at 0 K: -98 meV per atom
- E: -0.0453 Ha/atom
- Density: 7.85 g cm⁻³

Cell lengths 7.748, 7.748, 7.748 Å; angles 82.40, 82.40, 82.40 degrees
Sites, in units of the cell vectors:
Li 0.000 0.000 0.000
Ac 0.691 0.691 0.691
Cd 0.003 0.003 0.487
Cd 0.003 0.487 0.003
Cd 0.058 0.349 0.655
Cd 0.058 0.655 0.349
Cd 0.164 0.728 0.728
Cd 0.239 0.239 0.239
Cd 0.349 0.058 0.655
Cd 0.349 0.655 0.058
Cd 0.372 0.372 0.834
Cd 0.372 0.834 0.372
Cd 0.445 0.445 0.445
Cd 0.487 0.003 0.003
Cd 0.655 0.058 0.349
Cd 0.655 0.349 0.058
Cd 0.728 0.164 0.728
Cd 0.728 0.728 0.164
Cd 0.834 0.372 0.372

=====

Below is an optimized crystal structure of LiReTc2, with properties calculated at the PBE level.

Properties
- Crystal system: orthorhombic
- Formation enthalpy at 0 K: 247 meV per atom
- E: -0.3134 Ha/atom
- Energy above the lowest structure with this stoichiometry: 116 meV per atom
- Density: 11.55 g cm⁻³

Cell lengths 2.703, 3.956, 5.234 Å; angles 90.00, 90.00, 90.00 degrees
Sites, in units of the cell vectors:
Li 0.000 0.000 0.000
Re 0.000 0.000 0.500
Tc 0.500 0.500 0.238
Tc 0.500 0.500 0.762